Record 1
PBE-GGA CuSn2Br6, relaxed; polymorph energy (0 for the lowest one) = 0 meV per atom; energy relative to the elements, uncorrected = -0.574 eV/atom
1.0
6.516 -9.282 0.000
6.516 9.282 0.000
-2.459 0.000 5.209
Cu Sn Br
2 4 12
direct
0.190 0.810 0.750
0.810 0.190 0.250
0.235 0.446 0.357
0.446 0.235 0.857
0.554 0.765 0.143
0.765 0.554 0.643
0.010 0.215 0.132
0.121 0.620 0.364
0.215 0.010 0.632
0.286 0.453 0.874
0.380 0.879 0.136
0.453 0.286 0.374
0.547 0.714 0.626
0.620 0.121 0.864
0.714 0.547 0.126
0.785 0.990 0.368
0.879 0.380 0.636
0.990 0.785 0.868

***

Record 2
PBE-GGA RbTi2BiCl, relaxed; energy relative to the elements, uncorrected = 0.418 eV/atom
1.0
5.329 0.000 0.000
0.000 5.329 0.000
0.000 0.000 7.963
Rb Ti Bi Cl
1 2 1 1
direct
0.000 0.000 0.000
0.000 0.500 0.500
0.500 0.000 0.500
0.500 0.500 0.500
0.500 0.500 0.000

***

Record 3
PBE-GGA Sm2Al2Pt5Au, relaxed; calculated formation energy = -0.859 eV/atom
1.0
9.872 0.000 0.000
0.000 9.872 0.000
0.000 0.000 3.761
Sm Al Pt Au
4 4 10 2
direct
0.180 0.320 0.000
0.320 0.820 0.000
0.680 0.180 0.000
0.820 0.680 0.000
0.118 0.618 0.000
0.382 0.118 0.000
0.618 0.882 0.000
0.882 0.382 0.000
0.000 0.500 0.500
0.061 0.789 0.500
0.211 0.061 0.500
0.289 0.561 0.500
0.439 0.289 0.500
0.500 0.000 0.500
0.561 0.711 0.500
0.711 0.439 0.500
0.789 0.939 0.500
0.939 0.211 0.500
0.000 0.000 0.000
0.500 0.500 0.000

***

Record 4
PBE-GGA Tb6Dy8Al, relaxed; calculated formation energy = 0.091 eV/atom
1.0
9.351 0.000 0.000
-4.676 8.098 0.000
0.000 0.000 6.222
Tb Dy Al
6 8 1
direct
0.093 0.638 0.188
0.362 0.455 0.188
0.455 0.093 0.812
0.545 0.907 0.188
0.638 0.545 0.812
0.907 0.362 0.812
0.041 0.780 0.697
0.220 0.261 0.697
0.261 0.041 0.303
0.333 0.667 0.687
0.667 0.333 0.313
0.739 0.959 0.697
0.780 0.739 0.303
0.959 0.220 0.303
0.000 0.000 0.000

***

Record 5
PBE-GGA CaTiP2Os, relaxed; calculated formation energy = -0.819 eV/atom
1.0
4.035 0.000 0.000
0.000 4.035 0.000
0.000 0.000 10.378
Ca Ti P Os
2 2 4 2
direct
0.000 0.000 0.000
0.500 0.500 0.500
0.000 0.500 0.250
0.500 0.000 0.750
0.000 0.000 0.380
0.000 0.000 0.620
0.500 0.500 0.120
0.500 0.500 0.880
0.000 0.500 0.750
0.500 0.000 0.250

***

Record 6
PBE-GGA Tb4TmNi4, relaxed; calculated formation energy = -0.263 eV/atom
1.0
8.469 0.000 0.000
0.000 8.469 0.000
0.000 0.000 5.654
Tb Tm Ni
8 2 8
direct
0.061 0.667 0.148
0.167 0.939 0.648
0.333 0.561 0.648
0.439 0.833 0.148
0.561 0.167 0.852
0.667 0.439 0.352
0.833 0.061 0.352
0.939 0.333 0.852
0.250 0.250 0.250
0.750 0.750 0.750
0.021 0.619 0.633
0.119 0.979 0.133
0.381 0.521 0.133
0.479 0.881 0.633
0.521 0.119 0.367
0.619 0.479 0.867
0.881 0.021 0.867
0.979 0.381 0.367

***

In eV/atom, the uncorrected energy values for the records above are, in order, -3.034; -4.079; -5.900; -4.465; -7.208; -5.387.